La4Ce3Rh2 | PBE | relaxed

Cell: 9.025 9.025 8.970 Å, 117.22 117.22 24.00°
Fractional coordinates of all 9 atoms:
La 0.126 0.126 0.381
La 0.266 0.266 0.847
La 0.734 0.734 0.153
La 0.874 0.874 0.619
Ce 0.431 0.431 0.331
Ce 0.500 0.500 0.000
Ce 0.569 0.569 0.669
Rh 0.087 0.087 0.917
Rh 0.913 0.913 0.083

Computed properties:
E_tot: -6.13 eV/atom
Size of the total moment: 0.000 μB per cell
D(E_F): 18.0 states/eV/cell
Formation energy: -2.98 eV per formula unit
Symmetry: C2/m, No. 12

=====

La2CeRh3 | PBE | relaxed

Cell: 7.112 7.112 8.170 Å, 106.71 106.71 48.32°
Fractional coordinates of all 12 atoms:
La 0.166 0.168 0.084
La 0.168 0.166 0.584
La 0.832 0.834 0.416
La 0.834 0.832 0.916
Ce 0.498 0.502 0.750
Ce 0.502 0.498 0.250
Rh 0.002 0.998 0.250
Rh 0.348 0.350 0.425
Rh 0.350 0.348 0.925
Rh 0.650 0.652 0.075
Rh 0.652 0.650 0.575
Rh 0.998 0.002 0.750

Computed properties:
E_tot: -6.97 eV/atom
Size of the total moment: 0.000 μB per cell
D(E_F): 9.4 states/eV/cell
Formation energy: -3.97 eV per formula unit
Symmetry: C2/c, No. 15

=====

LaCe2Rh | PBE | relaxed

Cell: 5.746 5.746 5.746 Å, 48.48 48.48 48.48°
Fractional coordinates of all 4 atoms:
La 0.000 0.000 0.000
Ce 0.242 0.242 0.242
Ce 0.758 0.758 0.758
Rh 0.500 0.500 0.500

Computed properties:
E_tot: -6.20 eV/atom
Size of the total moment: 0.808 μB per cell
D(E_F): 9.2 states/eV/cell
Formation energy: -0.66 eV per formula unit
Polymorph energy (0 for the lowest one): 210 meV per atom
Symmetry: R-3m, No. 166

=====

La2CeRh9 | PBE | relaxed

Cell: 9.475 9.475 9.475 Å, 32.53 32.53 32.53°
Fractional coordinates of all 12 atoms:
La 0.138 0.138 0.138
La 0.862 0.862 0.862
Ce 0.000 0.000 0.000
Rh 0.081 0.581 0.581
Rh 0.333 0.333 0.333
Rh 0.419 0.419 0.919
Rh 0.419 0.919 0.419
Rh 0.500 0.500 0.500
Rh 0.581 0.081 0.581
Rh 0.581 0.581 0.081
Rh 0.667 0.667 0.667
Rh 0.919 0.419 0.419

Computed properties:
E_tot: -7.36 eV/atom
Size of the total moment: 0.000 μB per cell
D(E_F): 12.3 states/eV/cell
Formation energy: -6.41 eV per formula unit
Symmetry: R-3m, No. 166

=====

LaCe4Rh4 | PBE | relaxed

Cell: 8.993 8.993 5.679 Å, 90.00 90.00 90.00°
Fractional coordinates of all 18 atoms:
La 0.250 0.250 0.250
La 0.750 0.750 0.750
Ce 0.065 0.656 0.190
Ce 0.156 0.935 0.690
Ce 0.344 0.565 0.690
Ce 0.435 0.844 0.190
Ce 0.565 0.156 0.810
Ce 0.656 0.435 0.310
Ce 0.844 0.065 0.310
Ce 0.935 0.344 0.810
Rh 0.047 0.624 0.683
Rh 0.124 0.953 0.183
Rh 0.376 0.547 0.183
Rh 0.453 0.876 0.683
Rh 0.547 0.124 0.317
Rh 0.624 0.453 0.817
Rh 0.876 0.047 0.817
Rh 0.953 0.376 0.317

Computed properties:
E_tot: -7.08 eV/atom
Size of the total moment: 3.890 μB per cell
D(E_F): 37.3 states/eV/cell
Formation energy: -5.63 eV per formula unit
Symmetry: P4_2/n, No. 86

=====

LaCe3Rh2 | PBE | relaxed

Cell: 8.529 8.529 8.486 Å, 116.46 116.46 31.37°
Fractional coordinates of all 12 atoms:
La 0.109 0.109 0.024
La 0.891 0.891 0.976
Ce 0.070 0.070 0.437
Ce 0.292 0.292 0.636
Ce 0.376 0.376 0.311
Ce 0.624 0.624 0.689
Ce 0.708 0.708 0.364
Ce 0.930 0.930 0.563
Rh 0.235 0.235 0.879
Rh 0.475 0.475 0.801
Rh 0.525 0.525 0.199
Rh 0.765 0.765 0.121

Computed properties:
E_tot: -6.72 eV/atom
Size of the total moment: 0.001 μB per cell
D(E_F): 21.5 states/eV/cell
Formation energy: -2.89 eV per formula unit
Symmetry: C2/m, No. 12

=====

LaCe2Rh | PBE | relaxed

Cell: 7.072 9.854 6.301 Å, 90.00 90.00 90.00°
Fractional coordinates of all 16 atoms:
La 0.032 0.250 0.136
La 0.468 0.750 0.636
La 0.532 0.250 0.364
La 0.968 0.750 0.864
Ce 0.162 0.057 0.643
Ce 0.162 0.443 0.643
Ce 0.338 0.557 0.143
Ce 0.338 0.943 0.143
Ce 0.662 0.057 0.857
Ce 0.662 0.443 0.857
Ce 0.838 0.557 0.357
Ce 0.838 0.943 0.357
Rh 0.119 0.750 0.373
Rh 0.381 0.250 0.873
Rh 0.619 0.750 0.127
Rh 0.881 0.250 0.627

Computed properties:
E_tot: -6.41 eV/atom
Size of the total moment: 4.501 μB per cell
D(E_F): 39.9 states/eV/cell
Formation energy: -1.50 eV per formula unit
Polymorph energy (0 for the lowest one): 0 meV per atom
Symmetry: Pnma, No. 62

=====

LaCeRuRh | PBE | relaxed

Cell: 4.979 4.979 4.979 Å, 60.00 60.00 60.00°
Fractional coordinates of all 4 atoms:
La 0.000 0.000 0.000
Ce 0.500 0.500 0.500
Ru 0.250 0.250 0.250
Rh 0.750 0.750 0.750

Computed properties:
E_tot: -7.28 eV/atom
Size of the total moment: 0.001 μB per cell
D(E_F): 4.1 states/eV/cell
Formation energy: -1.64 eV per formula unit
Symmetry: F-43m, No. 216

=====

- What is the E_tot in the second record?
  -6.97 eV/atom

=====

- Which value of size of the total moment does entry 2 give?
  0.000 μB per cell